Record 1
## SrSc2C (PBE)

Data for a relaxed SrSc2C crystal.

Geometry as extended XYZ:
```
4
Lattice="4.336 2.870 8.069 3.751 -0.423 8.825 6.531 0.454 7.019" Properties=species:S:1:pos:R:3 pbc="T T T"
Sc 1.811 0.359 2.963
Sc 12.807 2.541 20.951
Sr 0.000 0.000 0.000
C 7.309 1.450 11.957
```

Results
E_tot = -5.99 eV per atom
energy of formation from the pure elements = -10 kJ/mol of atoms
DOS(E_F) = 2.512 states/eV/cell
space group = No. 166

Record 2
## SrSc3C (PBE)

Data for a relaxed SrSc3C crystal.

Geometry as extended XYZ:
```
5
Lattice="5.071 0.000 0.000 0.000 5.071 0.000 0.000 0.000 5.071" Properties=species:S:1:pos:R:3 pbc="T T T"
C 2.536 2.536 2.536
Sc 2.536 0.000 0.000
Sc 0.000 0.000 2.536
Sc 0.000 2.536 0.000
Sr 0.000 0.000 0.000
```

Results
E_tot = -3.37 eV per atom
energy of formation from the pure elements = 252 kJ/mol of atoms
DOS(E_F) = 4.796 states/eV/cell
space group = No. 221

Record 3
## SrScC2 (PBE)

Data for a relaxed SrScC2 crystal.

Geometry as extended XYZ:
```
8
Lattice="-4.618 -0.897 -1.219 1.486 -1.949 -4.196 -1.164 -7.556 0.284" Properties=species:S:1:pos:R:3 pbc="T T T"
Sr 0.000 0.000 0.000
Sr -3.674 -4.938 -1.821
Sc -1.566 -1.423 -2.707
Sc -0.622 -5.464 -3.310
C -3.801 -7.912 -3.997
C -0.521 -3.332 -2.857
C -2.410 -2.580 -1.062
C -1.861 -6.980 -2.346
```

Results
E_tot = -5.75 eV per atom
energy of formation from the pure elements = 84 kJ/mol of atoms
DOS(E_F) = 3.066 states/eV/cell
space group = No. 122

Record 4
## SrScC3 (PBE)

Data for a relaxed SrScC3 crystal.

Geometry as extended XYZ:
```
5
Lattice="-1.011 2.346 3.599 -2.690 -3.229 1.348 3.349 -1.885 2.170" Properties=species:S:1:pos:R:3 pbc="T T T"
Sr 0.000 0.000 0.000
C 1.675 -0.942 1.085
C -0.506 1.173 1.800
C -1.345 -1.614 0.674
Sc -0.176 -1.384 3.559
```

Results
E_tot = -4.34 eV per atom
energy of formation from the pure elements = 270 kJ/mol of atoms
DOS(E_F) = 2.658 states/eV/cell
space group = No. 221

Record 5
## SrSc2C (PBE)

Data for a relaxed SrSc2C crystal.

Geometry as extended XYZ:
```
8
Lattice="6.932 0.000 0.000 0.000 6.932 0.000 3.466 3.466 4.899" Properties=species:S:1:pos:R:3 pbc="T T T"
Sc 5.199 6.931 3.675
Sc 3.465 5.199 1.225
Sc 8.665 6.933 3.675
Sc 3.467 1.733 1.225
Sr 6.932 3.466 2.450
Sr 0.000 0.000 0.000
C 3.466 3.466 0.000
C 3.466 6.932 2.450
```

Results
E_tot = -5.80 eV per atom
energy of formation from the pure elements = 9 kJ/mol of atoms
DOS(E_F) = 4.890 states/eV/cell
space group = No. 227

Record 6
## SrScC2 (PBE)

Data for a relaxed SrScC2 crystal.

Geometry as extended XYZ:
```
4
Lattice="0.000 3.110 3.110 3.110 0.000 3.110 3.110 3.110 0.000" Properties=species:S:1:pos:R:3 pbc="T T T"
C 1.555 1.555 1.555
C 4.665 4.665 4.665
Sr 3.110 3.110 3.110
Sc 0.000 0.000 0.000
```

Results
E_tot = -5.53 eV per atom
energy of formation from the pure elements = 105 kJ/mol of atoms
DOS(E_F) = 3.650 states/eV/cell
space group = No. 225